Record 1
CsGePS2: single point on PBEsol structure, SCAN. Values from VASP.

The structure in Quantum ESPRESSO input format:
```
&SYSTEM
  ibrav = 0, nat = 5, ntyp = 4
/
ATOMIC_SPECIES
S 32.06 S.upf
Cs 132.91 Cs.upf
Ge 72.64 Ge.upf
P 30.97 P.upf
CELL_PARAMETERS angstrom
-3.171 2.827 -2.150
-2.724 0.105 4.156
2.516 3.998 1.547
ATOMIC_POSITIONS crystal
S 0.000 0.000 0.500
S 0.000 0.500 0.000
Cs 0.500 0.500 0.500
Ge 0.000 0.000 0.000
P 0.500 0.000 0.000
```

Output
- raw formation energy (kcal/mol of atoms) = 1.5
- energy relative to the lowest polymorph listed for this composition (eV per atom) = 0.000

Record 2
CsGePt3: single point on PBEsol structure, SCAN. Values from VASP.

The structure in Quantum ESPRESSO input format:
```
&SYSTEM
  ibrav = 0, nat = 5, ntyp = 3
/
ATOMIC_SPECIES
Cs 132.91 Cs.upf
Pt 195.08 Pt.upf
Ge 72.64 Ge.upf
CELL_PARAMETERS angstrom
-0.536 2.570 4.032
-4.752 -0.737 -0.162
0.531 -4.000 2.621
ATOMIC_POSITIONS crystal
Cs 0.500 0.500 0.500
Pt 0.000 0.500 0.000
Pt 0.500 0.000 0.000
Pt 0.000 0.000 0.500
Ge 0.000 0.000 0.000
```

Output
- DFT formation energy (eV per atom) = 0.345

Record 3
CsGePt2Se: single point on PBEsol structure, SCAN. Values from VASP.

The structure in Quantum ESPRESSO input format:
```
&SYSTEM
  ibrav = 0, nat = 5, ntyp = 4
/
ATOMIC_SPECIES
Pt 195.08 Pt.upf
Se 78.96 Se.upf
Cs 132.91 Cs.upf
Ge 72.64 Ge.upf
CELL_PARAMETERS angstrom
4.786 0.000 0.000
0.000 4.786 0.000
0.000 0.000 5.316
ATOMIC_POSITIONS crystal
Pt 0.500 0.000 0.000
Pt 0.000 0.500 0.000
Se 0.000 0.000 0.500
Cs 0.500 0.500 0.500
Ge 0.000 0.000 0.000
```

Output
- raw formation energy (kcal/mol of atoms) = 3.6

Record 4
CsTl2GePt: single point on PBEsol structure, SCAN. Values from VASP.

The structure in Quantum ESPRESSO input format:
```
&SYSTEM
  ibrav = 0, nat = 5, ntyp = 4
/
ATOMIC_SPECIES
Ge 72.64 Ge.upf
Pt 195.08 Pt.upf
Tl 204.38 Tl.upf
Cs 132.91 Cs.upf
CELL_PARAMETERS angstrom
-2.549 -2.155 -3.881
3.798 -4.930 0.243
-3.839 -2.759 4.055
ATOMIC_POSITIONS crystal
Ge 0.500 0.500 0.500
Pt 0.500 0.000 0.000
Tl 0.000 0.500 0.000
Tl 0.000 0.000 0.500
Cs 0.000 0.000 0.000
```

Output
- DFT formation energy (eV per atom) = 1.445

Record 5
CsRe3Ge: single point on PBEsol structure, SCAN. Values from VASP.

The structure in Quantum ESPRESSO input format:
```
&SYSTEM
  ibrav = 0, nat = 5, ntyp = 3
/
ATOMIC_SPECIES
Re 186.21 Re.upf
Cs 132.91 Cs.upf
Ge 72.64 Ge.upf
CELL_PARAMETERS angstrom
-1.298 4.538 0.509
-4.533 -1.217 -0.710
-0.548 -0.680 4.666
ATOMIC_POSITIONS crystal
Re 0.500 0.000 0.000
Re 0.000 0.500 0.000
Re 0.000 0.000 0.500
Cs 0.500 0.500 0.500
Ge 0.000 0.000 0.000
```

Output
- DFT formation energy (eV per atom) = 2.359

Record 6
CsReGeRu2: single point on PBEsol structure, SCAN. Values from VASP.

The structure in Quantum ESPRESSO input format:
```
&SYSTEM
  ibrav = 0, nat = 5, ntyp = 4
/
ATOMIC_SPECIES
Ru 101.07 Ru.upf
Re 186.21 Re.upf
Cs 132.91 Cs.upf
Ge 72.64 Ge.upf
CELL_PARAMETERS angstrom
4.807 0.000 0.000
0.000 4.807 0.000
0.000 0.000 5.002
ATOMIC_POSITIONS crystal
Ru 0.500 0.000 0.000
Ru 0.000 0.500 0.000
Re 0.000 0.000 0.500
Cs 0.000 0.000 0.000
Ge 0.500 0.500 0.500
```

Output
- DFT formation energy (eV per atom) = 3.493